# 1
First-principles (PBE) data for an optimized crystal structure of SbRh2W, as listed in the Alexandria database.

Geometry as CIF:
```
data_SbRh2W
_cell_length_a 3.019
_cell_length_b 3.019
_cell_length_c 7.245
_cell_angle_alpha 90.00
_cell_angle_beta 90.00
_cell_angle_gamma 90.00
_symmetry_space_group_name_H-M 'P 4 m m'
_symmetry_Int_Tables_number 99
_symmetry_space_group_name_Hall 'P 4 -2'
loop_
_atom_site_label
_atom_site_fract_x
_atom_site_fract_y
_atom_site_fract_z
_atom_site_occupancy
Sb1 0.000 0.000 0.000 1
Rh1 0.000 0.000 0.499 1
Rh2 0.500 0.500 0.777 1
W1 0.500 0.500 0.283 1
```

Properties
- Calculated volume: 66.01 Å³/f.u.
- ΔE_f (raw): 0.5 eV per formula unit
- Uncorrected energy: -31.28 eV for the cell shown

---

# 2
First-principles (PBE) data for an optimized crystal structure of TmSiAgO4, as listed in the Alexandria database.

Geometry as CIF:
```
data_TmSiAgO4
_cell_length_a 5.713
_cell_length_b 6.026
_cell_length_c 6.727
_cell_angle_alpha 90.00
_cell_angle_beta 103.56
_cell_angle_gamma 90.00
_symmetry_space_group_name_H-M 'P 1 21/m 1'
_symmetry_Int_Tables_number 11
_symmetry_space_group_name_Hall '-P 2yb'
loop_
_atom_site_label
_atom_site_fract_x
_atom_site_fract_y
_atom_site_fract_z
_atom_site_occupancy
Tm1 0.190 0.250 0.034 1
Si1 0.275 0.750 0.849 1
Ag1 0.452 0.750 0.390 1
O1 0.088 0.540 0.834 1
O2 0.466 0.750 0.077 1
O3 0.475 0.750 0.709 1
```

Properties
- Calculated volume: 112.55 Å³/f.u.
- ΔE_f (raw): -17.3 eV per formula unit
- Uncorrected energy: -99.80 eV for the cell shown

---

# 3
First-principles (PBE) data for an optimized crystal structure of Mg8Ag2Ir, as listed in the Alexandria database.

Geometry as CIF:
```
data_Mg8Ag2Ir
_cell_length_a 4.558
_cell_length_b 7.444
_cell_length_c 12.614
_cell_angle_alpha 90.00
_cell_angle_beta 90.00
_cell_angle_gamma 90.00
_symmetry_space_group_name_H-M 'I m m m'
_symmetry_Int_Tables_number 71
_symmetry_space_group_name_Hall '-I 2 2'
loop_
_atom_site_label
_atom_site_fract_x
_atom_site_fract_y
_atom_site_fract_z
_atom_site_occupancy
Mg1 0.000 0.000 0.140 1
Mg2 0.000 0.225 0.351 1
Mg3 0.000 0.298 0.000 1
Ag1 0.000 0.500 0.194 1
Ir1 0.000 0.500 0.500 1
```

Properties
- Calculated volume: 213.98 Å³/f.u.
- Uncorrected energy: -58.87 eV for the cell shown